A relaxed Mg2Nb2NiO8 crystal. Source: the Alexandria database, functional GGA+U.

Values from the calculation:
VASP energy: -7.447 eV per atom
Space-group type: C2/c, No. 15

Cell lengths 9.972, 9.972, 5.181 Å; angles 89.38, 89.38, 35.02 degrees
Last column: magnetic moment on the atom in μB.
Fractional positions:
1 O 0.044 0.817 0.916  0.01
2 O 0.546 0.835 0.385  0.00
3 O 0.817 0.044 0.416  0.01
4 O 0.183 0.956 0.584  0.01
5 O 0.956 0.183 0.084  0.01
6 O 0.083 0.291 0.459  0.00
7 O 0.437 0.679 0.084  0.03
8 O 0.291 0.083 0.959  0.00
9 O 0.321 0.563 0.416  0.03
10 O 0.917 0.709 0.541  0.00
11 O 0.679 0.437 0.584  0.03
12 O 0.165 0.454 0.115  0.00
13 O 0.835 0.546 0.885  0.00
14 O 0.454 0.165 0.615  0.00
15 O 0.709 0.917 0.041  0.00
16 O 0.563 0.321 0.916  0.03
17 Mg 0.129 0.413 0.753  0.00
18 Mg 0.413 0.129 0.253  0.00
19 Mg 0.871 0.587 0.247  0.00
20 Mg 0.587 0.871 0.747  0.00
21 Nb 0.056 0.715 0.256  0.04
22 Nb 0.715 0.056 0.756  0.04
23 Nb 0.285 0.944 0.244  0.04
24 Nb 0.944 0.285 0.744  0.04
25 Ni 0.354 0.646 0.750  1.78
26 Ni 0.646 0.354 0.250  1.78